Entry 1:
KScGe | PBE | optimized geometry

Results
E above lowest polymorph ... 92 meV per atom
Electronic total energy ... -4.311 eV/atom
Magnetic moment ... 0.0000 μB/atom
DFT formation energy ... -0.296 eV per atom

Cell: 5.004 5.004 7.369 Å, 90.00 90.00 90.00°
Space group P4/nmm (No. 129, origin choice 2)
Asymmetric unit:
1 K 0.250 0.750 0.000 x2
2 Sc 0.250 0.750 0.500 x2
3 Ge 0.250 0.250 0.337 x2

=====

Entry 2:
KSc3Ge | PBE | optimized geometry

Results
E above lowest polymorph ... 0 meV per atom
Electronic total energy ... -4.731 eV/atom
Magnetic moment ... 0.4613 μB/atom
DFT formation energy ... 0.211 eV per atom

Cell: 5.341 5.341 5.341 Å, 90.00 90.00 90.00°
Space group Pm-3m (No. 221)
Asymmetric unit:
1 K 0.000 0.000 0.000 x1
2 Sc 0.000 0.500 0.500 x3
3 Ge 0.500 0.500 0.500 x1